The following is a GGA-PBE calculation of Pr4SbAu after structural relaxation, from Alexandria.

Cell: 6.315 7.718 8.990 Å, 103.71 110.58 89.98°
Fractional coordinates of all 12 atoms:
Pr 0.539 0.049 0.847
Pr 0.692 0.451 0.153
Pr 0.461 0.951 0.153
Pr 0.308 0.549 0.847
Pr 0.949 0.876 0.680
Pr 0.269 0.624 0.320
Pr 0.051 0.124 0.320
Pr 0.731 0.376 0.680
Sb 0.877 0.750 0.000
Sb 0.123 0.250 0.000
Au 0.500 0.000 0.500
Au 0.000 0.500 0.500

The formation energy (no corrections) is -0.472 eV per atom. Its density of states at the Fermi level is 12.2 states/eV/cell. The total energy comes out at -0.35953 Ry/atom.

---

The following is a GGA-PBE calculation of Zr5As3 after structural relaxation, from Alexandria.

Cell: 7.194 8.187 10.847 Å, 90.00 90.00 90.00°
Fractional coordinates of all 32 atoms:
Zr 0.351 0.250 0.297
Zr 0.851 0.750 0.203
Zr 0.649 0.750 0.703
Zr 0.149 0.250 0.797
Zr 0.842 0.250 0.225
Zr 0.342 0.750 0.275
Zr 0.158 0.750 0.775
Zr 0.658 0.250 0.725
Zr 0.527 0.250 0.000
Zr 0.027 0.750 0.500
Zr 0.473 0.750 0.000
Zr 0.973 0.250 0.500
Zr 0.191 0.048 0.075
Zr 0.691 0.952 0.425
Zr 0.809 0.548 0.925
Zr 0.309 0.452 0.575
Zr 0.809 0.952 0.925
Zr 0.309 0.048 0.575
Zr 0.191 0.452 0.075
Zr 0.691 0.548 0.425
As 0.583 0.250 0.487
As 0.083 0.750 0.013
As 0.417 0.750 0.513
As 0.917 0.250 0.987
As 0.071 0.493 0.325
As 0.571 0.507 0.175
As 0.929 0.993 0.675
As 0.429 0.007 0.825
As 0.929 0.507 0.675
As 0.429 0.493 0.825
As 0.071 0.007 0.325
As 0.571 0.993 0.175

As for the energy of formation: -0.97 eV per atom. As for the polymorph energy (0 for the lowest one): 0.0 meV per atom. Its density of states at the Fermi level is 19.0 states/eV/cell. The total energy comes out at -0.59242 Ry/atom.

---

The following is a GGA-PBE calculation of LaSnPt after structural relaxation, from Alexandria.

Cell: 6.595 6.595 12.334 Å, 90.00 90.00 120.00°
Fractional coordinates of all 18 atoms:
La 0.500 0.000 0.667
La 0.000 0.000 0.500
La 0.000 0.000 0.833
La 0.000 0.000 0.167
La 0.500 0.500 0.000
La 0.000 0.500 0.333
Pt 0.383 0.766 0.167
Pt 0.766 0.383 0.833
Pt 0.617 0.383 0.500
Pt 0.617 0.234 0.167
Pt 0.383 0.617 0.500
Pt 0.234 0.617 0.833
Sn 0.500 0.500 0.295
Sn 0.000 0.500 0.628
Sn 0.500 0.500 0.705
Sn 0.000 0.500 0.039
Sn 0.500 0.000 0.961
Sn 0.500 0.000 0.372

As for the energy of formation: -0.79 eV per atom. Its density of states at the Fermi level is 14.2 states/eV/cell. The total energy comes out at -0.42466 Ry/atom.

---

The following is a GGA-PBE calculation of Rb3Hg2Au4 after structural relaxation, from Alexandria.

Cell: 5.042 6.636 10.042 Å, 68.08 76.06 67.92°
Fractional coordinates of all 9 atoms:
Rb 0.618 0.133 0.630
Rb 0.000 0.000 0.000
Rb 0.382 0.867 0.370
Hg 0.696 0.364 0.241
Hg 0.304 0.636 0.759
Au 0.246 0.426 0.081
Au 0.913 0.544 0.630
Au 0.087 0.456 0.370
Au 0.754 0.574 0.919

As for the energy of formation: -0.25 eV per atom. As for the polymorph energy (0 for the lowest one): 0.0 meV per atom. Its density of states at the Fermi level is 1.4 states/eV/cell. The total energy comes out at -0.15412 Ry/atom.

---

The following is a GGA-PBE calculation of RbHfV2 after structural relaxation, from Alexandria.

Cell: 5.082 5.082 10.207 Å, 75.58 75.58 90.00°
Fractional coordinates of all 8 atoms:
Hf 0.000 0.000 0.000
Hf 0.750 0.250 0.500
Rb 0.500 0.500 0.000
Rb 0.250 0.750 0.500
V 0.875 0.125 0.250
V 0.875 0.625 0.250
V 0.375 0.125 0.750
V 0.875 0.125 0.750

As for the energy of formation: 1.78 eV per atom. As for the polymorph energy (0 for the lowest one): 219.5 meV per atom. Its density of states at the Fermi level is 14.6 states/eV/cell. The total energy comes out at -0.40460 Ry/atom.

---

The following is a GGA-PBE calculation of Pr2HoAs3Rh12 after structural relaxation, from Alexandria.

Cell: 6.849 6.849 6.849 Å, 84.26 84.26 84.26°
Fractional coordinates of all 18 atoms:
Pr 0.643 0.643 0.643
Pr 0.357 0.357 0.357
Ho 0.000 0.000 0.000
As 0.500 0.000 0.000
As 0.000 0.500 0.000
As 0.000 0.000 0.500
Rh 0.378 0.378 0.899
Rh 0.816 0.816 0.320
Rh 0.320 0.816 0.816
Rh 0.899 0.378 0.378
Rh 0.816 0.320 0.816
Rh 0.378 0.899 0.378
Rh 0.622 0.622 0.101
Rh 0.184 0.184 0.680
Rh 0.680 0.184 0.184
Rh 0.101 0.622 0.622
Rh 0.184 0.680 0.184
Rh 0.622 0.101 0.622

As for the energy of formation: -0.27 eV per atom. Its density of states at the Fermi level is 18.2 states/eV/cell. The total energy comes out at -0.49479 Ry/atom.

---

The following is a GGA-PBE calculation of MnSb3Pd after structural relaxation, from Alexandria.

Cell: 4.935 4.935 4.935 Å, 90.00 90.00 90.00°
Fractional coordinates of all 5 atoms:
Sb 0.000 0.500 0.000
Sb 0.000 0.000 0.500
Sb 0.500 0.000 0.000
Mn 0.000 0.000 0.000
Pd 0.500 0.500 0.500

The formation energy (no corrections) is 0.439 eV per atom. As for the polymorph energy (0 for the lowest one): 0.0 meV per atom. Its density of states at the Fermi level is 2.4 states/eV/cell. The total energy comes out at -0.36064 Ry/atom.

---

The following is a GGA-PBE calculation of LaTb4Ho10 after structural relaxation, from Alexandria.

Cell: 6.500 9.634 9.634 Å, 83.47 70.28 70.28°
Fractional coordinates of all 15 atoms:
La 0.000 0.000 0.000
Tb 0.433 0.894 0.241
Tb 0.673 0.759 0.894
Tb 0.327 0.241 0.106
Tb 0.567 0.106 0.759
Ho 0.250 0.500 0.500
Ho 0.621 0.422 0.837
Ho 0.957 0.163 0.422
Ho 0.542 0.837 0.578
Ho 0.880 0.578 0.163
Ho 0.379 0.578 0.163
Ho 0.750 0.500 0.500
Ho 0.120 0.422 0.837
Ho 0.458 0.163 0.422
Ho 0.043 0.837 0.578

As for the energy of formation: 0.56 eV per atom. Its density of states at the Fermi level is 29.5 states/eV/cell. The total energy comes out at -0.29835 Ry/atom.